# 1
Compound: CaDy3Sb4
Source: Alexandria
Functional: GGA-PBE
Structure: relaxed

a = 6.241 Å, b = 6.241 Å, c = 6.241 Å
α = 90.00°, β = 90.00°, γ = 90.00°
Space group Pm-3m (No. 221)
Symmetry-distinct sites (fractional):
Ca  0.000  0.000  0.000 [1 per cell]
Dy  0.000  0.500  0.500 [3 per cell]
Sb  0.000  0.000  0.500 [3 per cell]
Sb  0.500  0.500  0.500 [1 per cell]

## Properties
- ΔE_f (raw) (eV/atom) = -1.02
- N(E_F) (states/eV per atom) = 0.49


# 2
Compound: Sr8Sn2Ge
Source: Alexandria
Functional: GGA-PBE
Structure: relaxed

a = 20.746 Å, b = 5.611 Å, c = 7.753 Å
α = 90.00°, β = 104.21°, γ = 90.00°
Space group C2/m (No. 12)
Symmetry-distinct sites (fractional):
Sr  0.030  0.000  0.295 [4 per cell]
Sr  0.092  0.500  0.927 [4 per cell]
Sr  0.155  0.500  0.459 [4 per cell]
Sr  0.213  0.000  0.807 [4 per cell]
Sn  0.190  0.000  0.225 [4 per cell]
Ge  0.000  0.500  0.500 [2 per cell]

## Properties
- DFT formation energy (meV/atom) = -400
- N(E_F) (states/eV per atom) = 0.91


# 3
Compound: CaTa2Fe
Source: Alexandria
Functional: GGA-PBE
Structure: relaxed

a = 5.043 Å, b = 5.043 Å, c = 16.482 Å
α = 90.00°, β = 90.00°, γ = 90.00°
Space group I-42d (No. 122)
Symmetry-distinct sites (fractional):
Ca  0.000  0.000  0.000 [4 per cell]
Ta  0.038  0.250  0.625 [8 per cell]
Fe  0.000  0.000  0.500 [4 per cell]

## Properties
- DFT formation energy (meV/atom) = 1267
- N(E_F) (states/eV per atom) = 1.34